Record 1
A plane-wave DFT calculation with GGA-PBE was carried out for crystalline Ta2RhAu at its relaxed geometry.

abc: 2.869 2.869 8.165
angles: 90.00 90.00 90.00
Positions (direct):
1 Ta 0.000 0.000 0.236
2 Ta 0.000 0.000 0.764
3 Rh 0.500 0.500 0.000
4 Au 0.500 0.500 0.500

D(E_F): 3.2 states/eV/cell
E_form: -254.2 meV per atom



Record 2
A plane-wave DFT calculation with GGA-PBE was carried out for crystalline EuZn2Cd at its relaxed geometry.

abc: 4.942 4.942 4.942
angles: 60.00 60.00 60.00
Positions (direct):
1 Eu 0.000 0.000 0.000
2 Zn 0.250 0.250 0.250
3 Zn 0.750 0.750 0.750
4 Cd 0.500 0.500 0.500

D(E_F): 8.0 states/eV/cell
E_form: -239.5 meV per atom
Distance to the lowest polymorph of the same formula: 0.0000 eV/atom



Record 3
A plane-wave DFT calculation with GGA-PBE was carried out for crystalline SrCoIr2 at its relaxed geometry.

abc: 5.700 5.700 4.782
angles: 114.61 114.61 28.66
Positions (direct):
1 Sr 0.000 0.000 0.000
2 Co 0.500 0.500 0.500
3 Ir 0.217 0.217 0.716
4 Ir 0.783 0.783 0.284

D(E_F): 4.9 states/eV/cell
E_form: 362.3 meV per atom
Distance to the lowest polymorph of the same formula: 0.4345 eV/atom



Record 4
A plane-wave DFT calculation with GGA-PBE was carried out for crystalline Nb2HgB at its relaxed geometry.

abc: 3.166 6.444 6.444
angles: 30.09 90.00 90.00
Positions (direct):
1 Nb 0.000 0.000 0.000
2 Nb 0.000 0.320 0.320
3 Hg 0.500 0.656 0.656
4 B 0.500 0.862 0.862

D(E_F): 3.2 states/eV/cell
E_form: 23.6 meV per atom
Distance to the lowest polymorph of the same formula: 0.2891 eV/atom